# MgMnNiPd (PBE, optimized geometry)
# Space-group type: No. 216
# Total energy: -22.77 eV per cell
# Energy relative to the elements: -0.258 eV per atom
data_MgMnNiPd
_cell_length_a 4.3341
_cell_length_b 4.3341
_cell_length_c 4.3341
_cell_angle_alpha 60.00
_cell_angle_beta 60.00
_cell_angle_gamma 60.00
_symmetry_space_group_name_H-M 'P 1'
_symmetry_Int_Tables_number 1
_symmetry_space_group_name_Hall 'P 1'
loop_
_atom_site_label
_atom_site_fract_x
_atom_site_fract_y
_atom_site_fract_z
_atom_site_occupancy
Mn1 0.0000 0.0000 0.0000 1
Mg1 0.5000 0.5000 0.5000 1
Pd1 0.7500 0.7500 0.7500 1
Ni1 0.2500 0.2500 0.2500 1

# V2CoRh (PBE, optimized geometry)
# Space-group type: No. 166
# Total energy: -32.94 eV per cell
# Energy above the lowest structure with this stoichiometry: 180 meV/atom
# Energy relative to the elements: -0.061 eV per atom
data_V2CoRh
_cell_length_a 2.6597
_cell_length_b 2.6597
_cell_length_c 8.5812
_cell_angle_alpha 81.08
_cell_angle_beta 81.08
_cell_angle_gamma 60.00
_symmetry_space_group_name_H-M 'P 1'
_symmetry_Int_Tables_number 1
_symmetry_space_group_name_Hall 'P 1'
loop_
_atom_site_label
_atom_site_fract_x
_atom_site_fract_y
_atom_site_fract_z
_atom_site_occupancy
Rh1 0.5000 0.5000 0.5000 1
V1 0.2537 0.2537 0.2389 1
V2 0.7463 0.7463 0.7611 1
Co1 0.0000 0.0000 0.0000 1

# VSb2I (PBE, optimized geometry)
# Space-group type: No. 225
# Total energy: -15.95 eV per cell
# Energy above the lowest structure with this stoichiometry: 559 meV/atom
# ΔE_f (raw): 71.6 kJ per mole of atoms
data_VSb2I
_cell_length_a 5.2893
_cell_length_b 5.2893
_cell_length_c 5.2893
_cell_angle_alpha 60.00
_cell_angle_beta 60.00
_cell_angle_gamma 60.00
_symmetry_space_group_name_H-M 'P 1'
_symmetry_Int_Tables_number 1
_symmetry_space_group_name_Hall 'P 1'
loop_
_atom_site_label
_atom_site_fract_x
_atom_site_fract_y
_atom_site_fract_z
_atom_site_occupancy
Sb1 0.2500 0.2500 0.2500 1
Sb2 0.7500 0.7500 0.7500 1
V1 0.0000 0.0000 0.0000 1
I1 0.5000 0.5000 0.5000 1

# KInSi2 (PBE, optimized geometry)
# Space-group type: No. 123
# Total energy: -12.47 eV per cell
# ΔE_f (raw): 53.4 kJ per mole of atoms
data_KInSi2
_cell_length_a 4.5559
_cell_length_b 4.5607
_cell_length_c 4.4124
_cell_angle_alpha 90.00
_cell_angle_beta 90.00
_cell_angle_gamma 90.00
_symmetry_space_group_name_H-M 'P 1'
_symmetry_Int_Tables_number 1
_symmetry_space_group_name_Hall 'P 1'
loop_
_atom_site_label
_atom_site_fract_x
_atom_site_fract_y
_atom_site_fract_z
_atom_site_occupancy
K1 0.0000 0.5000 0.5000 1
In1 0.5000 0.0000 0.5000 1
Si1 0.5000 0.5000 0.0000 1
Si2 0.0000 0.0000 0.0000 1

# Cs2NiSeBr6 (PBE, optimized geometry)
# Space-group type: No. 139
# Total energy: -29.04 eV per cell
# ΔE_f (raw): -77.5 kJ per mole of atoms
data_Cs2NiSeBr6
_cell_length_a 7.6663
_cell_length_b 7.6663
_cell_length_c 7.5972
_cell_angle_alpha 59.70
_cell_angle_beta 59.70
_cell_angle_gamma 90.00
_symmetry_space_group_name_H-M 'P 1'
_symmetry_Int_Tables_number 1
_symmetry_space_group_name_Hall 'P 1'
loop_
_atom_site_label
_atom_site_fract_x
_atom_site_fract_y
_atom_site_fract_z
_atom_site_occupancy
Br1 0.2710 0.7290 0.0000 1
Br2 0.7290 0.2710 0.0000 1
Br3 0.7452 0.7452 0.5096 1
Br4 0.2710 0.2710 0.0000 1
Br5 0.7290 0.7290 0.0000 1
Br6 0.2548 0.2548 0.4904 1
Ni1 0.5000 0.5000 0.0000 1
Se1 0.0000 0.0000 0.0000 1
Cs1 0.7500 0.2500 0.5000 1
Cs2 0.2500 0.7500 0.5000 1

# AsP2PtS (PBE, optimized geometry)
# Space-group type: No. 123
# Total energy: -21.56 eV per cell
# Energy above the lowest structure with this stoichiometry: 0 meV/atom
# ΔE_f (raw): 78.6 kJ per mole of atoms
data_AsP2PtS
_cell_length_a 4.6211
_cell_length_b 4.6211
_cell_length_c 4.8512
_cell_angle_alpha 90.00
_cell_angle_beta 90.00
_cell_angle_gamma 90.00
_symmetry_space_group_name_H-M 'P 1'
_symmetry_Int_Tables_number 1
_symmetry_space_group_name_Hall 'P 1'
loop_
_atom_site_label
_atom_site_fract_x
_atom_site_fract_y
_atom_site_fract_z
_atom_site_occupancy
P1 0.0000 0.5000 0.0000 1
P2 0.5000 0.0000 0.0000 1
Pt1 0.0000 0.0000 0.0000 1
S1 0.0000 0.0000 0.5000 1
As1 0.5000 0.5000 0.5000 1

# SiSb2Au (PBE, optimized geometry)
# Space-group type: No. 99
# Total energy: -15.77 eV per cell
# ΔE_f (raw): 28.3 kJ per mole of atoms
data_SiSb2Au
_cell_length_a 3.1400
_cell_length_b 3.1400
_cell_length_c 9.2180
_cell_angle_alpha 90.00
_cell_angle_beta 90.00
_cell_angle_gamma 90.00
_symmetry_space_group_name_H-M 'P 1'
_symmetry_Int_Tables_number 1
_symmetry_space_group_name_Hall 'P 1'
loop_
_atom_site_label
_atom_site_fract_x
_atom_site_fract_y
_atom_site_fract_z
_atom_site_occupancy
Si1 0.0000 0.0000 0.5417 1
Au1 0.5000 0.5000 0.7096 1
Sb1 0.5000 0.5000 0.2862 1
Sb2 0.0000 0.0000 0.9625 1

# CrNiAs2 (PBE, optimized geometry)
# Space-group type: No. 216
# Total energy: -23.19 eV per cell
# Energy above the lowest structure with this stoichiometry: 498 meV/atom
# Energy relative to the elements: 0.378 eV per atom
data_CrNiAs2
_cell_length_a 4.4172
_cell_length_b 4.4172
_cell_length_c 4.4172
_cell_angle_alpha 60.00
_cell_angle_beta 60.00
_cell_angle_gamma 60.00
_symmetry_space_group_name_H-M 'P 1'
_symmetry_Int_Tables_number 1
_symmetry_space_group_name_Hall 'P 1'
loop_
_atom_site_label
_atom_site_fract_x
_atom_site_fract_y
_atom_site_fract_z
_atom_site_occupancy
As1 0.2500 0.2500 0.2500 1
As2 0.0000 0.0000 0.0000 1
Ni1 0.7500 0.7500 0.7500 1
Cr1 0.5000 0.5000 0.5000 1

Calculated magnetization, 1.130; 0.175; 0.955; 0.000; 0.000; 0.000; 0.000; 0.838 μB/atom (same order as the records).